VASP calculation (PBE) on an optimized crystal structure of Bi2PdRh.

a b c (Å): 3.460 3.460 6.996
angles (deg): 90.00 90.00 90.00
Atoms (fractional coordinates):
Bi (0.000, 0.000, 0.241)
Bi (0.000, 0.000, 0.759)
Pd (0.500, 0.500, 0.500)
Rh (0.500, 0.500, 0.000)

Calculated values
- Total magnetization: 0.00 Bohr magnetons per cell
- Theoretical density: 12.44 g/cm3
- Formation energy: -0.107 eV/atom